VASP calculation (PBE+U) on a geometry-optimized AgP2WO structure.

extended XYZ file:
```
5
Lattice="4.8257 0.0000 0.0000 0.0000 4.8257 0.0000 0.0000 0.0000 3.8930" Properties=species:S:1:pos:R:3 pbc="T T T"
O 0.0000 0.0000 1.9465
P 0.0000 2.4129 0.0000
P 2.4129 0.0000 0.0000
Ag 0.0000 0.0000 0.0000
W 2.4129 2.4129 1.9465
```

Mass density (Mg/m³): 6.77
Offset from the most stable computed form (eV per atom): 1.073